Entry 1:
Material: CoGe4Rh2
Method: DFT, PBE
State: optimized geometry

The space group is C2/m (No. 12) and the conventional cell measures 12.0684, 3.3393 and 6.3577 Å, with angles of 90.00, 115.82 and 90.00 degrees. The inequivalent atoms are Co at (0.0000, 0.0000, 0.0000), Ge at (0.0903, 0.5000, 0.2877), Ge at (0.1493, 0.0000, 0.8540) and Rh at (0.2432, 0.5000, 0.6918).

The calculation puts the electronic total energy at -6.0973 eV/atom. The value obtained for the density of states at the Fermi level is 6.67 states/eV/cell. Its crystal system is monoclinic. The calculation puts the energy of formation at -2.40 eV per formula unit.

***

Entry 2:
Material: CoGe2Rh
Method: DFT, PBE
State: optimized geometry

The space group is P4/mmm (No. 123) and the conventional cell measures 4.2217, 4.2217 and 3.0920 Å, with angles of 90.00, 90.00 and 90.00 degrees. The inequivalent atoms are Co at (0.0000, 0.0000, 0.0000), Ge at (0.0000, 0.5000, 0.5000) and Rh at (0.5000, 0.5000, 0.0000).

The calculation puts the electronic total energy at -6.0689 eV/atom. The calculation puts the polymorph energy (0 for the lowest one) at 80 meV/atom. The value obtained for the density of states at the Fermi level is 2.61 states/eV/cell. Its crystal system is tetragonal. The calculation puts the energy of formation at -0.58 eV per formula unit.

***

Entry 3:
Material: CoGeRh
Method: DFT, PBE
State: optimized geometry

The space group is I4/mmm (No. 139) and the conventional cell measures 2.9436, 2.9436 and 19.2494 Å, with angles of 90.00, 90.00 and 90.00 degrees. The inequivalent atoms are Co at (0.0000, 0.0000, 0.2142), Ge at (0.0000, 0.0000, 0.3605) and Rh at (0.0000, 0.0000, 0.0675).

The calculation puts the electronic total energy at -6.4067 eV/atom. The value obtained for the density of states at the Fermi level is 10.74 states/eV/cell. Its crystal system is tetragonal. The calculation puts the energy of formation at -0.15 eV per formula unit.

***

Entry 4:
Material: Co2Ge2Rh
Method: DFT, PBE
State: optimized geometry

The space group is P4/mbm (No. 127) and the conventional cell measures 6.8055, 6.8055 and 2.7668 Å, with angles of 90.00, 90.00 and 90.00 degrees. The inequivalent atoms are Co at (0.1402, 0.3598, 0.0000), Ge at (0.1562, 0.6562, 0.5000) and Rh at (0.0000, 0.0000, 0.5000).

The calculation puts the electronic total energy at -6.3380 eV/atom. The calculation puts the polymorph energy (0 for the lowest one) at 0 meV/atom. The value obtained for the density of states at the Fermi level is 10.50 states/eV/cell. Its crystal system is tetragonal. The calculation puts the energy of formation at -0.89 eV per formula unit.

***

Entry 5:
Material: Co5Ge6Rh
Method: DFT, PBE
State: optimized geometry

The space group is C2/m (No. 12) and the conventional cell measures 4.9604, 8.6222 and 7.5960 Å, with angles of 90.00, 102.52 and 90.00 degrees. The inequivalent atoms are Co at (0.0000, 0.0000, 0.0000), Co at (0.0000, 0.1671, 0.5000), Co at (0.0000, 0.3364, 0.0000), Ge at (0.2410, 0.0000, 0.7542), Ge at (0.2427, 0.1716, 0.2442) and Rh at (0.0000, 0.5000, 0.5000).

The calculation puts the electronic total energy at -5.9476 eV/atom. The value obtained for the density of states at the Fermi level is 19.67 states/eV/cell. Its crystal system is monoclinic. The calculation puts the energy of formation at -0.79 eV per formula unit.

***

Entry 6:
Material: CoGeRh2
Method: DFT, PBE
State: optimized geometry

The space group is P4/mmm (No. 123) and the conventional cell measures 3.8926, 3.8926 and 3.5214 Å, with angles of 90.00, 90.00 and 90.00 degrees. The inequivalent atoms are Co at (0.0000, 0.0000, 0.0000), Ge at (0.5000, 0.5000, 0.0000) and Rh at (0.0000, 0.5000, 0.5000).

The calculation puts the electronic total energy at -6.7652 eV/atom. The value obtained for the density of states at the Fermi level is 6.08 states/eV/cell. Its crystal system is tetragonal. The calculation puts the energy of formation at -0.63 eV per formula unit.